Computed, not measured: an optimized crystal structure of CaBeSn2Au at the GGA-PBE level of DFT.

Calculated volume: 24.5 A^3/atom
SG: P4/mmm (123)
E_tot: -16.64 eV/cell

Lattice parameters (Å, degrees): 4.7434 4.7434 5.4405 90.00 90.00 90.00
Closest atoms and distances in Å follow each position.
Fractional coordinates of all 5 atoms:
Ca: 0.0000 0.0000 0.0000  2 Be 2.72
Be: 0.0000 0.0000 0.5000  4 Sn 2.37
Sn: 0.0000 0.5000 0.5000  2 Be 2.37
Sn: 0.5000 0.0000 0.5000  2 Be 2.37
Au: 0.5000 0.5000 0.0000  4 Ca 3.35, 8 Sn 3.61